Record 1
Be2BW2 PBE relaxed; total magnetic moment = 0.00 μB/f.u.; mass density = 12.37 Mg/m³; formation energy = 222 meV/atom; calculated volume = 213.0 Å³ per cell; total DFT energy (no corrections) = -155.71 eV/cell
1.0
5.5426 0.0000 0.0000
0.0000 5.5426 0.0000
0.0000 0.0000 6.9319
Be B W
8 4 8
Direct
0.1259 0.3741 0.2500
0.1259 0.3741 0.7500
0.3741 0.8741 0.2500
0.3741 0.8741 0.7500
0.6259 0.1259 0.2500
0.6259 0.1259 0.7500
0.8741 0.6259 0.2500
0.8741 0.6259 0.7500
0.0000 0.0000 0.2504
0.0000 0.0000 0.7496
0.5000 0.5000 0.2496
0.5000 0.5000 0.7504
0.1807 0.6807 0.0000
0.1807 0.6807 0.5000
0.3193 0.1807 0.0000
0.3193 0.1807 0.5000
0.6807 0.8193 0.0000
0.6807 0.8193 0.5000
0.8193 0.3193 0.0000
0.8193 0.3193 0.5000

---

Record 2
YAg2 PBE relaxed; total magnetic moment = 0.00 μB/f.u.; mass density = 7.58 Mg/m³; formation energy = -148 meV/atom; calculated volume = 133.5 Å³ per cell; total DFT energy (no corrections) = -25.22 eV/cell
1.0
5.5920 -1.7652 0.0000
5.5920 1.7652 0.0000
-2.5131 0.0000 6.7603
Y Ag
2 4
Direct
0.1618 0.1618 0.1238
0.8382 0.8382 0.8762
0.1556 0.1556 0.5475
0.4685 0.4685 0.2542
0.5315 0.5315 0.7458
0.8444 0.8444 0.4525

---

Record 3
SrLa3Ru PBE relaxed; distance to the lowest polymorph of the same formula = 38.0 meV/atom; total magnetic moment = 0.00 μB/f.u.; mass density = 5.26 Mg/m³; formation energy = -141 meV/atom; calculated volume = 382.2 Å³ per cell; total DFT energy (no corrections) = -52.89 eV/cell
1.0
7.0158 0.0000 0.0000
-1.2148 6.9920 0.0000
-0.0923 -2.3528 7.7919
Sr La Ru
2 6 2
Direct
0.0000 0.0000 0.0000
0.2547 0.5055 0.8921
0.2399 0.5150 0.3978
0.5074 0.0191 0.2709
0.5082 0.0081 0.7493
0.7421 0.5062 0.1555
0.7481 0.5084 0.6276
0.9910 0.0122 0.4982
0.6005 0.7717 0.4656
0.8870 0.2794 0.3333

---

Record 4
Sm4Sc3Se8 PBE relaxed; total magnetic moment = 0.00 μB/f.u.; raw formation energy = -1.55 eV per atom; mass density = 5.64 Mg/m³; calculated volume = 403.1 Å³ per cell; total DFT energy (no corrections) = -89.05 eV/cell
1.0
3.9235 2.2652 7.5596
-3.9235 2.2652 7.5596
0.0000 -4.5305 7.5596
Sm Sc Se
4 3 8
Direct
0.0000 0.0000 0.0000
0.1497 0.1497 0.1497
0.5000 0.5000 0.5000
0.8503 0.8503 0.8503
0.0000 0.5000 0.5000
0.5000 0.0000 0.5000
0.5000 0.5000 0.0000
0.2494 0.2494 0.7333
0.2494 0.7333 0.2494
0.2667 0.7506 0.7506
0.2728 0.2728 0.2728
0.7272 0.7272 0.7272
0.7333 0.2494 0.2494
0.7506 0.2667 0.7506
0.7506 0.7506 0.2667

---

Record 5
TaMnAs3 PBE relaxed; distance to the lowest polymorph of the same formula = 218.8 meV/atom; total magnetic moment = 4.05 μB/f.u.; mass density = 7.81 Mg/m³; formation energy = 780 meV/atom; calculated volume = 98.0 Å³ per cell; total DFT energy (no corrections) = -31.07 eV/cell
1.0
4.6103 0.0000 0.0000
0.0000 4.6103 0.0000
0.0000 0.0000 4.6103
Ta Mn As
1 1 3
Direct
0.0000 0.0000 0.0000
0.5000 0.5000 0.5000
0.0000 0.5000 0.5000
0.5000 0.0000 0.5000
0.5000 0.5000 0.0000

---

Record 6
ScWCl2 PBE relaxed; distance to the lowest polymorph of the same formula = 492.9 meV/atom; total magnetic moment = 0.00 μB/f.u.; raw formation energy = 0.02 eV per atom; mass density = 6.58 Mg/m³; calculated volume = 151.4 Å³ per cell; total DFT energy (no corrections) = -45.76 eV/cell
1.0
-2.1585 2.1585 8.1228
2.1585 -2.1585 8.1228
2.1585 2.1585 -8.1228
Sc W Cl
2 2 4
Direct
0.0000 0.0000 0.0000
0.7500 0.2500 0.5000
0.2500 0.7500 0.5000
0.5000 0.5000 0.0000
0.1431 0.6250 0.0181
0.3750 0.3931 0.5181
0.6069 0.1250 0.9819
0.8750 0.8569 0.4819

---

- Among the records above, which one has the highest calculated volume?
  Sm4Sc3Se8

---

- Number 4 is which compound?
  Sm4Sc3Se8

---

- Which of these has the lowest total DFT energy (no corrections)?
  Be2BW2